# 1
Compound: Mg8HgPt2
Source: the Alexandria database
Functional: GGA-PBE
Structure: relaxed

```
11
Lattice="-2.245 1.314 -3.599 -3.714 -5.720 0.160 -1.692 5.827 5.956" Properties=species:S:1:pos:R:3 pbc="T T T"
Pt -4.273 -1.306 -1.583
Pt -2.497 1.888 1.253
Mg -2.080 -0.506 0.105
Mg -4.799 1.721 2.603
Mg -4.681 1.089 -0.435
Mg -4.641 -1.618 1.265
Mg -3.857 3.915 0.111
Mg -2.131 2.200 -1.599
Mg -2.911 -3.334 -0.442
Mg -3.664 4.685 3.019
Hg -4.965 -0.312 4.691
```

## Properties
Relative energy among the computed polymorphs: 0.00 eV per formula unit
E: -0.2028 Ry per atom
E_form: -5.2 eV/f.u.
Magnetic moment: 0.000 Bohr magnetons per cell
Space-group type: P-1

# 2
Compound: Mg6Hg3Pt
Source: the Alexandria database
Functional: GGA-PBE
Structure: relaxed

```
20
Lattice="-2.507 -3.403 -1.825 -1.311 -3.189 7.748 -9.079 6.153 0.997" Properties=species:S:1:pos:R:3 pbc="T T T"
Mg -4.379 1.557 3.111
Mg -5.922 -1.792 5.671
Mg -8.517 -1.996 3.809
Mg -11.588 -0.109 4.508
Mg -6.974 1.354 1.249
Mg -9.920 3.545 1.211
Mg -4.249 -1.644 3.097
Mg -5.974 -5.065 6.039
Mg -8.647 1.206 3.823
Mg -1.308 -0.330 2.412
Mg -2.976 -3.983 5.709
Mg -6.922 4.626 0.881
Hg -8.684 -0.099 6.307
Hg -2.650 -0.886 5.293
Hg -4.212 -0.340 0.613
Hg -10.247 0.448 1.627
Hg -1.909 -3.296 2.962
Hg -4.539 3.077 0.498
Pt -6.448 -0.219 3.460
Pt 0.000 0.000 0.000
```

## Properties
E: -0.1449 Ry per atom
E_form: -3.2 eV/f.u.
Magnetic moment: 0.000 Bohr magnetons per cell
Space-group type: Pnnm

# 3
Compound: MgHg2Pt
Source: the Alexandria database
Functional: GGA-PBE
Structure: relaxed

```
4
Lattice="3.596 0.000 0.000 0.000 3.596 0.000 0.000 0.000 5.947" Properties=species:S:1:pos:R:3 pbc="T T T"
Mg 1.798 1.798 1.487
Pt 1.798 1.798 4.461
Hg 0.000 0.000 3.001
Hg 0.000 0.000 5.920
```

## Properties
E: -0.1619 Ry per atom
E_form: -0.6 eV/f.u.
Magnetic moment: 0.000 Bohr magnetons per cell
Space-group type: P4/mmm